A plane-wave DFT calculation with PBE+U was carried out for a geometry-optimized NbCoF2 structure.

Computed properties:
**Uncorrected energy**: -70.18 eV/cell
**Density of states at the Fermi level**: 2.6 states/eV/f.u.
**Offset from the most stable computed form**: 0 meV per atom

abc: 2.7971 2.7971 26.9225
angles: 90.00 90.00 120.00
Closest atoms and distances in Å follow each position.
Space group R-3m (No. 166, hexagonal axes)
Inequivalent atoms, fractional coordinates:
1 Nb 0.0000 0.0000 0.0000 (multiplicity 3)  6 F 2.23
2 Co 0.0000 0.0000 0.5000 (multiplicity 3)  6 Co 2.80, 2 F 2.95
3 F 0.0000 0.0000 0.3906 (multiplicity 6)  3 Nb 2.23